a:
ZnCrSb2Te | GGA-PBE | relaxed

## Properties
The calculation puts the theoretical density at 6.1 g/cm³.

```
ZnCrSb2Te
1.0
5.0589 0.0000 0.0000
0.0000 5.0589 0.0000
0.0000 0.0000 5.2376
Zn Cr Sb Te
1 1 2 1
Direct
0.0000 0.0000 0.0000
0.5000 0.5000 0.5000
0.0000 0.5000 0.0000
0.5000 0.0000 0.0000
0.0000 0.0000 0.5000
```


b:
ZnCrSb2Te | GGA-PBE | relaxed

## Properties
The calculation puts the theoretical density at 6.0 g/cm³.

```
ZnCrSb2Te
1.0
5.0436 0.0000 0.0000
0.0000 5.0436 0.0000
0.0000 0.0000 5.3352
Zn Cr Sb Te
1 1 2 1
Direct
0.0000 0.0000 0.0000
0.5000 0.5000 0.5000
0.0000 0.5000 0.5000
0.5000 0.0000 0.5000
0.5000 0.5000 0.0000
```


c:
ZnCrSb2Te | GGA-PBE | relaxed

## Properties
The calculation puts the theoretical density at 4.9 g/cm³.

```
ZnCrSb2Te
1.0
5.8479 0.0000 0.0000
0.0000 5.8479 0.0000
0.0000 0.0000 4.8023
Zn Cr Sb Te
1 1 2 1
Direct
0.0000 0.0000 0.0000
0.5000 0.5000 0.0000
0.0000 0.5000 0.5000
0.5000 0.0000 0.5000
0.5000 0.5000 0.5000
```


The structure with the greatest stability is b.